The following is a DFT calculation (PBE) of a geometry-optimized CaGeIr2 structure.

Summary:
The calculation puts the density of states at the Fermi level at 9.77 states/eV/cell. As for the formation energy: -82 kJ/mol of formula units. For the uncorrected energy, the calculation gives -6.298 eV per atom.

a b c (Å): 3.989 3.989 9.328
angles (deg): 90.00 90.00 90.00
Positions (direct):
Ir 0.000 0.500 0.072
Ir 0.000 0.000 0.500
Ir 0.500 0.000 0.928
Ir 0.500 0.500 0.500
Ge 0.500 0.000 0.662
Ge 0.000 0.500 0.338
Ca 0.500 0.000 0.223
Ca 0.000 0.500 0.777

---

The following is a DFT calculation (PBE) of a geometry-optimized CsRbAg structure.

Summary:
For the distance to the lowest polymorph of the same formula, the calculation gives 0.182 eV/f.u. The calculation puts the density of states at the Fermi level at 2.76 states/eV/cell. As for the formation energy: 24 kJ/mol of formula units. For the uncorrected energy, the calculation gives -1.476 eV per atom.

a b c (Å): 5.250 5.250 8.680
angles (deg): 90.00 90.00 120.00
Positions (direct):
Cs 0.333 0.667 0.577
Rb 0.000 0.000 0.098
Ag 0.667 0.333 0.325

---

The following is a DFT calculation (PBE) of a geometry-optimized Mg6AlGa structure.

Summary:
For the distance to the lowest polymorph of the same formula, the calculation gives 0.000 eV/f.u. The calculation puts the density of states at the Fermi level at 2.88 states/eV/cell. As for the formation energy: -34 kJ/mol of formula units. For the uncorrected energy, the calculation gives -2.086 eV per atom.

a b c (Å): 4.354 4.354 8.762
angles (deg): 90.00 90.00 90.00
Positions (direct):
Mg 0.500 0.500 0.000
Mg 0.000 0.500 0.250
Mg 0.000 0.500 0.750
Mg 0.500 0.000 0.250
Mg 0.500 0.500 0.500
Mg 0.500 0.000 0.750
Ga 0.000 0.000 0.000
Al 0.000 0.000 0.500

---

The following is a DFT calculation (PBE) of a geometry-optimized Be3Ag structure.

Summary:
For the distance to the lowest polymorph of the same formula, the calculation gives 0.403 eV/f.u. The calculation puts the density of states at the Fermi level at 0.92 states/eV/cell. As for the formation energy: 93 kJ/mol of formula units. For the uncorrected energy, the calculation gives -3.266 eV per atom.

a b c (Å): 3.697 2.553 4.725
angles (deg): 77.20 90.00 90.00
Positions (direct):
Be 0.500 0.309 0.293
Be 0.000 0.500 0.500
Be 0.500 0.691 0.707
Ag 0.000 0.000 0.000

---

The following is a DFT calculation (PBE) of a geometry-optimized TbPmY2Er structure.

Summary:
The calculation puts the density of states at the Fermi level at 14.98 states/eV/cell. As for the formation energy: 191 kJ/mol of formula units. For the uncorrected energy, the calculation gives -4.978 eV per atom.

a b c (Å): 7.217 8.425 7.111
angles (deg): 126.32 90.00 90.00
Positions (direct):
Tb 0.250 0.996 0.991
Tb 0.750 0.004 0.009
Y 0.500 0.310 0.000
Y 0.000 0.690 0.000
Y 0.000 0.310 0.000
Y 0.500 0.690 0.000
Er 0.250 0.275 0.549
Er 0.750 0.725 0.451
Pm 0.750 0.272 0.545
Pm 0.250 0.728 0.455

---

The following is a DFT calculation (PBE) of a geometry-optimized La4Pr3TmSe8 structure.

Summary:
For the raw formation energy, the calculation gives -1.897 eV/atom. The calculation puts the density of states at the Fermi level at 9.95 states/eV/cell. For the uncorrected energy, the calculation gives -6.046 eV per atom.

a b c (Å): 8.534 8.510 8.534
angles (deg): 120.10 120.00 90.00
Positions (direct):
Se 0.759 0.260 0.001
Se 0.758 0.740 0.999
Se 0.241 0.740 0.999
Se 0.750 0.749 0.499
Se 0.241 0.740 0.482
Se 0.242 0.260 0.001
Se 0.759 0.260 0.518
Se 0.250 0.251 0.501
La 0.000 0.000 0.000
La 0.500 0.000 0.500
La 0.500 0.000 0.000
La 0.000 0.000 0.500
Pr 0.500 0.500 0.000
Pr 0.500 0.500 0.500
Pr 0.000 0.500 0.500
Tm 0.000 0.500 0.000